# 1
The following is a DFT calculation (PBE) of a geometry-optimized SmSiRh2 structure.

Summary:
For the uncorrected formation energy, the calculation gives -0.87 eV/atom. Its final energy is -7.083 eV/atom.

Cell and atoms, written as POSCAR:
```
SmSiRh2
1.0
3.980 0.000 0.000
0.000 3.980 0.000
0.000 0.000 9.398
Sm Si Rh
2 2 4
Direct
0.500 0.000 0.205
0.000 0.500 0.795
0.500 0.000 0.642
0.000 0.500 0.358
0.500 0.000 0.891
0.000 0.500 0.109
0.000 0.000 0.500
0.500 0.500 0.500
```

# 2
The following is a DFT calculation (PBE) of a geometry-optimized Dy3Ho6Er2 structure.

Summary:
The formation energy comes out at 0.021 eV per atom. Its final energy is -4.561 eV/atom. The value obtained for the energy above the most stable polymorph in this dataset is 0 meV/atom.

Cell and atoms, written as POSCAR:
```
Dy3Ho6Er2
1.0
3.512 0.000 0.215
1.750 3.046 0.215
-0.174 -0.101 31.576
Dy Ho Er
3 6 2
Direct
0.000 0.000 0.000
0.727 0.727 0.818
0.273 0.273 0.182
0.909 0.909 0.273
0.091 0.091 0.727
0.818 0.818 0.545
0.182 0.182 0.455
0.636 0.636 0.091
0.364 0.364 0.909
0.545 0.545 0.364
0.455 0.455 0.636
```

# 3
The following is a DFT calculation (PBE) of a geometry-optimized CoPd3Pt2 structure.

Summary:
The formation energy comes out at 0.228 eV per atom. Its final energy is -5.567 eV/atom. The value obtained for the energy above the most stable polymorph in this dataset is 0 meV/atom.

Cell and atoms, written as POSCAR:
```
CoPd3Pt2
1.0
1.223 2.898 -7.172
7.474 -2.315 0.339
-5.970 -5.899 0.874
Co Pd Pt
4 12 8
Direct
0.260 0.260 0.520
0.740 0.740 0.480
0.510 0.010 0.020
0.990 0.490 0.980
0.316 0.684 0.000
0.125 0.875 0.250
0.125 0.375 0.250
0.684 0.684 0.000
0.684 0.316 0.000
0.934 0.434 0.500
0.625 0.875 0.750
0.125 0.875 0.750
0.566 0.066 0.500
0.566 0.434 0.500
0.316 0.316 0.000
0.934 0.066 0.500
0.916 0.704 0.833
0.334 0.621 0.667
0.296 0.084 0.167
0.379 0.666 0.333
0.871 0.084 0.167
0.954 0.666 0.333
0.334 0.046 0.667
0.916 0.129 0.833
```

# 4
The following is a DFT calculation (PBE) of a geometry-optimized BaHg2Ru structure.

Summary:
The formation energy comes out at 0.428 eV per atom. Its final energy is -2.522 eV/atom.

Cell and atoms, written as POSCAR:
```
BaHg2Ru
1.0
-3.682 -0.054 4.287
-4.737 -2.522 -1.771
5.401 -1.642 -0.272
Ba Hg Ru
1 2 1
Direct
0.750 0.250 0.500
0.000 0.000 0.000
0.250 0.750 0.500
0.500 0.500 0.000
```

# 5
The following is a DFT calculation (PBE) of a geometry-optimized SrCa2CdRh structure.

Summary:
The formation energy comes out at -0.217 eV per atom. Its final energy is -3.007 eV/atom.

Cell and atoms, written as POSCAR:
```
SrCa2CdRh
1.0
5.429 0.000 0.000
0.000 5.429 0.000
0.000 0.000 5.495
Sr Ca Rh Cd
1 2 1 1
Direct
0.500 0.500 0.500
0.000 0.500 0.000
0.500 0.000 0.000
0.000 0.000 0.000
0.000 0.000 0.500
```

# 6
The following is a DFT calculation (PBE) of a geometry-optimized KZr2Cu structure.

Summary:
The formation energy comes out at 0.888 eV per atom. Its final energy is -4.684 eV/atom. The value obtained for the energy above the most stable polymorph in this dataset is 650 meV/atom.

Cell and atoms, written as POSCAR:
```
KZr2Cu
1.0
6.389 -0.034 0.000
-3.652 5.243 0.000
0.000 0.000 2.864
Cu K Zr
1 1 2
Direct
0.500 0.000 0.500
0.000 0.500 0.500
0.000 0.000 0.000
0.500 0.500 0.000
```